Entry from Alexandria: a geometry-optimized KNa2TlRe structure (PBE-GGA).

## Properties
Calculated formation energy, eV per formula unit: 7.38
DFT total energy, eV/cell: -11.17

a b c (Å): 5.839 6.449 5.839
angles (deg): 90.00 90.00 90.00
Last column: magnetic moment on the atom in μB.
Atoms (fractional coordinates):
Re: 0.500 0.500 0.500  3.80
Tl: 0.000 0.000 0.000  -0.06
K: 0.000 0.500 0.000  -0.01
Na: 0.000 0.000 0.500  -0.01
Na: 0.500 0.000 0.000  0.00


Entry from Alexandria: a geometry-optimized KNa2Rh structure (PBE-GGA).

## Properties
Calculated formation energy, eV per formula unit: 2.91
DFT total energy, eV/cell: -8.18

a b c (Å): 3.210 3.210 12.839
angles (deg): 82.82 82.82 60.00
Last column: magnetic moment on the atom in μB.
Atoms (fractional coordinates):
Na: 0.072 0.072 0.785  0.00
Na: 0.928 0.928 0.215  0.00
K: 0.500 0.500 0.500  0.01
Rh: 0.000 0.000 0.000  0.90